1.
This record from the Alexandria database describes crystalline Zr2CrBr at its relaxed geometry. The functional is GGA-PBEsol. Values from VASP.

The raw formation energy is 0.82 eV/f.u. The space group is P4/mmm (123).

Geometry as Quantum ESPRESSO input:
```
&SYSTEM
  ibrav = 0, nat = 4, ntyp = 3
/
ATOMIC_SPECIES
Cr 52.00 Cr.upf
Zr 91.22 Zr.upf
Br 79.90 Br.upf
ATOMIC_POSITIONS crystal
Cr 0.5000 0.0000 0.0000
Zr 0.0000 0.0000 0.5000
Zr 0.0000 0.5000 0.0000
Br 0.5000 0.5000 0.5000
CELL_PARAMETERS angstrom
3.1244 0.0000 0.0000
0.0000 4.8588 0.0000
0.0000 0.0000 4.8588
```



2.
This record from the Alexandria database describes crystalline BeCdCu2 at its relaxed geometry. The functional is GGA-PBEsol. Values from VASP.

The space group is P4/mmm (123). The formation energy is 0.15 eV/atom.

Geometry as Quantum ESPRESSO input:
```
&SYSTEM
  ibrav = 0, nat = 4, ntyp = 3
/
ATOMIC_SPECIES
Cu 63.55 Cu.upf
Cd 112.41 Cd.upf
Be 9.01 Be.upf
ATOMIC_POSITIONS crystal
Cu 0.5000 0.5000 0.0000
Cu 0.0000 0.0000 0.0000
Cd 0.0000 0.5000 0.5000
Be 0.5000 0.0000 0.5000
CELL_PARAMETERS angstrom
-0.1903 -0.5482 -3.6343
-2.8363 -2.2907 0.4940
-2.3772 2.8781 -0.3097
```



3.
This record from the Alexandria database describes crystalline Sm3TiSb5 at its relaxed geometry. The functional is GGA-PBEsol. Values from VASP.

The raw formation energy is -8.49 eV/f.u. The space group is P6_3/mcm (193).

Geometry as Quantum ESPRESSO input:
```
&SYSTEM
  ibrav = 0, nat = 18, ntyp = 3
/
ATOMIC_SPECIES
Sb 121.76 Sb.upf
Sm 150.36 Sm.upf
Ti 47.87 Ti.upf
ATOMIC_POSITIONS crystal
Sb 0.5000 0.6667 0.3333
Sb 0.0000 0.6667 0.3333
Sb 0.0000 0.3333 0.6667
Sb 0.2500 0.0000 0.2574
Sb 0.7500 0.2574 0.2574
Sb 0.2500 0.7426 0.7426
Sb 0.7500 0.7426 0.0000
Sb 0.7500 0.0000 0.7426
Sb 0.5000 0.3333 0.6667
Sb 0.2500 0.2574 0.0000
Sm 0.2500 0.0000 0.6176
Sm 0.7500 0.0000 0.3824
Sm 0.7500 0.6176 0.6176
Sm 0.2500 0.3824 0.3824
Sm 0.7500 0.3824 0.0000
Sm 0.2500 0.6176 0.0000
Ti 0.5000 0.0000 0.0000
Ti 0.0000 0.0000 0.0000
CELL_PARAMETERS angstrom
6.1266 0.0000 0.0000
0.0000 9.2246 0.0000
0.0000 -4.6123 7.9888
```



4.
This record from the Alexandria database describes crystalline AlAg7 at its relaxed geometry. The functional is GGA-PBEsol. Values from VASP.

The space group is R-3m (166). The formation energy is -0.02 eV/atom.

Geometry as Quantum ESPRESSO input:
```
&SYSTEM
  ibrav = 0, nat = 8, ntyp = 2
/
ATOMIC_SPECIES
Ag 107.87 Ag.upf
Al 26.98 Al.upf
ATOMIC_POSITIONS crystal
Ag 0.2512 0.2512 0.2465
Ag 0.1245 0.1245 0.6264
Ag 0.3728 0.3728 0.8816
Ag 0.5000 0.5000 0.5000
Ag 0.8755 0.8755 0.3736
Ag 0.7488 0.7488 0.7535
Ag 0.6272 0.6272 0.1184
Al 0.0000 0.0000 0.0000
CELL_PARAMETERS angstrom
2.8816 0.0000 0.0000
1.4408 2.4956 0.0000
1.4408 0.8319 18.2788
```



5.
This record from the Alexandria database describes crystalline SrAgIr2 at its relaxed geometry. The functional is GGA-PBEsol. Values from VASP.

The space group is Pmmm (47). The formation energy is 0.42 eV/atom.

Geometry as Quantum ESPRESSO input:
```
&SYSTEM
  ibrav = 0, nat = 4, ntyp = 3
/
ATOMIC_SPECIES
Ir 192.22 Ir.upf
Ag 107.87 Ag.upf
Sr 87.62 Sr.upf
ATOMIC_POSITIONS crystal
Ir 0.0000 0.0000 0.0000
Ir 0.5000 0.5000 0.0000
Ag 0.0000 0.5000 0.5000
Sr 0.5000 0.0000 0.5000
CELL_PARAMETERS angstrom
2.9494 0.0000 0.0000
0.0000 4.8641 0.0000
0.0000 0.0000 4.8996
```



6.
This record from the Alexandria database describes crystalline Sr2ZnTe at its relaxed geometry. The functional is GGA-PBEsol. Values from VASP.

The raw formation energy is -3.02 eV/f.u. The space group is Cm (8).

Geometry as Quantum ESPRESSO input:
```
&SYSTEM
  ibrav = 0, nat = 4, ntyp = 3
/
ATOMIC_SPECIES
Zn 65.41 Zn.upf
Te 127.60 Te.upf
Sr 87.62 Sr.upf
ATOMIC_POSITIONS crystal
Zn 0.7198 0.1240 0.4396
Te 0.5402 0.6258 0.0804
Sr 0.9812 0.1256 0.9624
Sr 0.2588 0.6247 0.5176
CELL_PARAMETERS angstrom
4.5268 0.0000 -0.0002
0.0000 4.6298 0.0213
-2.2637 -0.0309 6.0708
```



7.
This record from the Alexandria database describes crystalline Cr2IrRh at its relaxed geometry. The functional is GGA-PBEsol. Values from VASP.

The space group is Pmmm (47). The formation energy is -0.12 eV/atom.

Geometry as Quantum ESPRESSO input:
```
&SYSTEM
  ibrav = 0, nat = 4, ntyp = 3
/
ATOMIC_SPECIES
Ir 192.22 Ir.upf
Cr 52.00 Cr.upf
Rh 102.91 Rh.upf
ATOMIC_POSITIONS crystal
Ir 0.5000 0.5000 0.0000
Cr 0.0000 0.0000 0.7542
Cr 0.0000 0.0000 0.2458
Rh 0.5000 0.5000 0.5000
CELL_PARAMETERS angstrom
-0.1961 1.6906 -2.0031
-2.4517 -2.1693 -1.5909
-3.8631 2.5255 2.5096
```



8.
This record from the Alexandria database describes crystalline YHg2Au at its relaxed geometry. The functional is GGA-PBEsol. Values from VASP.

The space group is P4/mmm (123). The formation energy is -0.46 eV/atom.

Geometry as Quantum ESPRESSO input:
```
&SYSTEM
  ibrav = 0, nat = 4, ntyp = 3
/
ATOMIC_SPECIES
Hg 200.59 Hg.upf
Y 88.91 Y.upf
Au 196.97 Au.upf
ATOMIC_POSITIONS crystal
Hg 0.5000 0.0000 0.0000
Hg 0.0000 0.5000 0.0000
Y 0.5000 0.5000 0.5000
Au 0.0000 0.0000 0.5000
CELL_PARAMETERS angstrom
4.2883 0.0000 0.0000
0.0000 4.2883 0.0000
0.0000 0.0000 4.7306
```